[1]
TaReIN2: optimized geometry, PBE.

a = 3.9288 Å, b = 3.9288 Å, c = 5.7247 Å
α = 90.00°, β = 90.00°, γ = 90.00°
Space group P4/mmm (No. 123)
One atom of each set of equivalent atoms:
Ta 0.0000 0.0000 0.0000 x1
Re 0.5000 0.5000 0.5000 x1
I 0.5000 0.5000 0.0000 x1
N 0.0000 0.5000 0.5000 x2

For the energy relative to the elements, uncorrected, the calculation gives 134 kJ/mol of atoms. As for the total energy: -7.109 eV/atom.



[2]
Tb5Pm2PrY: optimized geometry, PBE.

a = 8.8139 Å, b = 8.8139 Å, c = 15.4870 Å
α = 90.00°, β = 90.00°, γ = 90.00°
Space group I4/mcm (No. 140)
One atom of each set of equivalent atoms:
Tb 0.0000 0.0000 0.0000 x4
Tb 0.2098 0.2902 0.1364 x16
Pm 0.1161 0.3839 0.5000 x8
Pr 0.0000 0.0000 0.2500 x4
Y 0.0000 0.5000 0.2500 x4

As for the total energy: -4.613 eV/atom.



[3]
Ca2TcN2: optimized geometry, PBE.

a = 6.3747 Å, b = 5.1166 Å, c = 9.8829 Å
α = 90.00°, β = 90.00°, γ = 90.00°
Space group Pnma (No. 62)
One atom of each set of equivalent atoms:
Ca 0.0423 0.2500 0.2197 x4
Ca 0.1821 0.2500 0.5580 x4
Tc 0.2188 0.2500 0.8653 x4
N 0.0446 0.7500 0.2416 x4
N 0.1855 0.7500 0.5435 x4

For the energy relative to the elements, uncorrected, the calculation gives -68 kJ/mol of atoms. As for the total energy: -6.909 eV/atom.



[4]
La4Y5Ho2: optimized geometry, PBE.

a = 17.8323 Å, b = 3.5547 Å, c = 11.8051 Å
α = 90.00°, β = 94.22°, γ = 90.00°
Space group C2/m (No. 12)
One atom of each set of equivalent atoms:
La 0.0383 0.0000 0.2626 x4
La 0.1412 0.5000 0.7962 x4
Y 0.0000 0.5000 0.0000 x2
Y 0.0981 0.0000 0.5392 x4
Y 0.1785 0.0000 0.0722 x4
Ho 0.2155 0.5000 0.3575 x4

As for the total energy: -5.473 eV/atom.